# CdWS2F GGA+U optimized geometry
data_CdWS2F
_chemical_formula_sum 'Cd1 W1 S2 F1'
_cell_length_a 4.981
_cell_length_b 4.981
_cell_length_c 4.134
_cell_angle_alpha 90.00
_cell_angle_beta 90.00
_cell_angle_gamma 90.00
_space_group_name_H-M_alt 'P 4/m m m'
_space_group_IT_number 123
_space_group_name_Hall '-P 4 2'
loop_
_atom_site_label
_atom_site_fract_x
_atom_site_fract_y
_atom_site_fract_z
_atom_site_occupancy
Cd1 0.000 0.000 0.000 1
W1 0.500 0.500 0.500 1
S1 0.000 0.500 0.500 1
F1 0.500 0.500 0.000 1
# Total energy = -21.71 eV/cell
# Magnetic moment = 0.56 μB per atom